[1]
# KScTl2F6 SCAN single point on PBEsol structure
data_KScTl2F6
_chemical_formula_sum 'K4 Sc4 Tl8 F24'
_space_group_name_H-M_alt 'F m -3 m'
_space_group_IT_number 225
_space_group_name_Hall '-F 4 2 3'
_cell_length_a 8.962
_cell_length_b 8.962
_cell_length_c 8.962
_cell_angle_alpha 90.00
_cell_angle_beta 90.00
_cell_angle_gamma 90.00
loop_
_atom_site_label
_atom_site_fract_x
_atom_site_fract_y
_atom_site_fract_z
K1 0.000 0.000 0.000
Sc1 0.000 0.000 0.500
Tl1 0.250 0.250 0.250
F1 0.000 0.000 0.276
# ΔE_f (raw) in kJ/mol of formula units: -2921
# E_tot in eV for the cell shown: -875.2

---

[2]
# KReRu SCAN single point on PBEsol structure
data_KReRu
_chemical_formula_sum 'K2 Re2 Ru2'
_space_group_name_H-M_alt 'I 4 m m'
_space_group_IT_number 107
_space_group_name_Hall 'I 4 -2'
_cell_length_a 2.978
_cell_length_b 2.978
_cell_length_c 14.105
_cell_angle_alpha 90.00
_cell_angle_beta 90.00
_cell_angle_gamma 90.00
loop_
_atom_site_label
_atom_site_fract_x
_atom_site_fract_y
_atom_site_fract_z
K1 0.000 0.000 0.000
Re1 0.000 0.000 0.711
Ru1 0.000 0.000 0.302
# DFT formation energy in eV/f.u.: 2.63
# E_tot in eV for the cell shown: -223.2

---

[3]
# ScBeOs2 SCAN single point on PBEsol structure
data_ScBeOs2
_chemical_formula_sum 'Sc2 Be2 Os4'
_space_group_name_H-M_alt 'I m m m'
_space_group_IT_number 71
_space_group_name_Hall '-I 2 2'
_cell_length_a 2.902
_cell_length_b 4.611
_cell_length_c 8.206
_cell_angle_alpha 90.00
_cell_angle_beta 90.00
_cell_angle_gamma 90.00
loop_
_atom_site_label
_atom_site_fract_x
_atom_site_fract_y
_atom_site_fract_z
Sc1 0.000 0.000 0.000
Be1 0.000 0.000 0.500
Os1 0.000 0.500 0.219
# DFT formation energy in eV/f.u.: -0.60
# E_tot in eV for the cell shown: -325.9

---

[4]
# Li2Mn3TeO8 SCAN single point on PBEsol structure
data_Li2Mn3TeO8
_chemical_formula_sum 'Li8 Mn12 Te4 O32'
_space_group_name_H-M_alt 'C 1 2/c 1'
_space_group_IT_number 15
_cell_length_a 10.075
_cell_length_b 5.695
_cell_length_c 11.298
_cell_angle_alpha 90.00
_cell_angle_beta 109.05
_cell_angle_gamma 90.00
loop_
_space_group_symop_operation_xyz
'x,y,z'
'-x,-y,-z'
'-x,y,-z+1/2'
'x,-y,z+1/2'
'x+1/2,y+1/2,z'
'-x+1/2,-y+1/2,-z'
'-x+1/2,y+1/2,-z+1/2'
'x+1/2,-y+1/2,z+1/2'
loop_
_atom_site_label
_atom_site_fract_x
_atom_site_fract_y
_atom_site_fract_z
Li1 0.201 0.233 0.339
Mn1 0.000 0.000 0.000
Mn2 0.000 0.500 0.000
Mn3 0.250 0.250 0.000
Te1 0.000 0.290 0.750
O1 0.100 0.252 0.612
O2 0.116 0.244 0.090
O3 0.125 0.058 0.863
O4 0.143 0.487 0.423
# ΔE_f (raw) in kJ/mol of formula units: -2586
# Relative energy among the computed polymorphs in kJ per mole of atoms: 0.0
# E_tot in eV for the cell shown: -693.8

---

[5]
# AlAg3B SCAN single point on PBEsol structure
data_AlAg3B
_chemical_formula_sum 'Al1 Ag3 B1'
_space_group_name_H-M_alt 'P m -3 m'
_space_group_IT_number 221
_space_group_name_Hall '-P 4 2 3'
_cell_length_a 4.307
_cell_length_b 4.307
_cell_length_c 4.307
_cell_angle_alpha 90.00
_cell_angle_beta 90.00
_cell_angle_gamma 90.00
loop_
_atom_site_label
_atom_site_fract_x
_atom_site_fract_y
_atom_site_fract_z
Al1 0.000 0.000 0.000
Ag1 0.000 0.500 0.500
B1 0.500 0.500 0.500
# DFT formation energy in eV/f.u.: 2.66
# E_tot in eV for the cell shown: -106.6

---

[6]
# NiOsBr2 SCAN single point on PBEsol structure
data_NiOsBr2
_chemical_formula_sum 'Ni1 Os1 Br2'
_space_group_name_H-M_alt 'P 4/m m m'
_space_group_IT_number 123
_space_group_name_Hall '-P 4 2'
_cell_length_a 4.496
_cell_length_b 4.496
_cell_length_c 3.108
_cell_angle_alpha 90.00
_cell_angle_beta 90.00
_cell_angle_gamma 90.00
loop_
_atom_site_label
_atom_site_fract_x
_atom_site_fract_y
_atom_site_fract_z
Ni1 0.000 0.000 0.000
Os1 0.500 0.500 0.000
Br1 0.000 0.500 0.500
# ΔE_f (raw) in kJ/mol of formula units: 522
# Relative energy among the computed polymorphs in kJ per mole of atoms: 32.3
# E_tot in eV for the cell shown: -121.6

---

[7]
# MgIn2 SCAN single point on PBEsol structure
data_MgIn2
_chemical_formula_sum 'Mg4 In8'
_space_group_name_H-M_alt 'C 1 m 1'
_space_group_IT_number 8
_cell_length_a 11.821
_cell_length_b 3.360
_cell_length_c 7.481
_cell_angle_alpha 90.00
_cell_angle_beta 105.09
_cell_angle_gamma 90.00
loop_
_space_group_symop_operation_xyz
'x,y,z'
'x,-y,z'
'x+1/2,y+1/2,z'
'x+1/2,-y+1/2,z'
loop_
_atom_site_label
_atom_site_fract_x
_atom_site_fract_y
_atom_site_fract_z
Mg1 0.000 0.000 0.000
Mg2 0.179 0.500 0.343
In1 0.117 0.500 0.737
In2 0.281 0.000 0.073
In3 0.338 0.000 0.668
In4 0.463 0.500 0.390
# DFT formation energy in eV/f.u.: -0.17
# E_tot in eV for the cell shown: -287.6

---

[8]
# KCuSe2 SCAN single point on PBEsol structure
data_KCuSe2
_chemical_formula_sum 'K1 Cu1 Se2'
_space_group_name_H-M_alt 'P 4 m m'
_space_group_IT_number 99
_cell_length_a 3.325
_cell_length_b 3.325
_cell_length_c 8.459
_cell_angle_alpha 90.00
_cell_angle_beta 90.00
_cell_angle_gamma 90.00
loop_
_space_group_symop_operation_xyz
'x,y,z'
'-y,x,z'
'-x,-y,z'
'y,-x,z'
'-x,y,z'
'y,x,z'
'x,-y,z'
'-y,-x,z'
loop_
_atom_site_label
_atom_site_fract_x
_atom_site_fract_y
_atom_site_fract_z
K1 0.000 0.000 0.000
Cu1 0.500 0.500 0.535
Se1 0.000 0.000 0.629
Se2 0.500 0.500 0.251
# ΔE_f (raw) in kJ/mol of formula units: -116
# E_tot in eV for the cell shown: -64.9

---

[9]
# Zr2ZnSi SCAN single point on PBEsol structure
data_Zr2ZnSi
_chemical_formula_sum 'Zr4 Zn2 Si2'
_space_group_name_H-M_alt 'I m m 2'
_space_group_IT_number 44
_cell_length_a 3.686
_cell_length_b 4.119
_cell_length_c 9.299
_cell_angle_alpha 90.00
_cell_angle_beta 90.00
_cell_angle_gamma 90.00
loop_
_space_group_symop_operation_xyz
'x,y,z'
'-x,-y,z'
'-x,y,z'
'x,-y,z'
'x+1/2,y+1/2,z+1/2'
'-x+1/2,-y+1/2,z+1/2'
'-x+1/2,y+1/2,z+1/2'
'x+1/2,-y+1/2,z+1/2'
loop_
_atom_site_label
_atom_site_fract_x
_atom_site_fract_y
_atom_site_fract_z
Zr1 0.000 0.000 0.000
Zr2 0.000 0.500 0.238
Zn1 0.000 0.000 0.472
Si1 0.000 0.500 0.769
# ΔE_f (raw) in kJ/mol of formula units: -173
# E_tot in eV for the cell shown: -173.4

---

[10]
# ZrAlRe SCAN single point on PBEsol structure
data_ZrAlRe
_chemical_formula_sum 'Zr4 Al4 Re4'
_space_group_name_H-M_alt 'F -4 3 m'
_space_group_IT_number 216
_space_group_name_Hall 'F -4 2 3'
_cell_length_a 6.257
_cell_length_b 6.257
_cell_length_c 6.257
_cell_angle_alpha 90.00
_cell_angle_beta 90.00
_cell_angle_gamma 90.00
loop_
_atom_site_label
_atom_site_fract_x
_atom_site_fract_y
_atom_site_fract_z
Zr1 0.000 0.000 0.000
Al1 0.250 0.250 0.250
Re1 0.250 0.250 0.750
# DFT formation energy in eV/f.u.: 2.52
# Relative energy among the computed polymorphs in kJ per mole of atoms: 95.9
# E_tot in eV for the cell shown: -428.1

---

[11]
# YMn4Cu3O12 SCAN single point on PBEsol structure
data_YMn4Cu3O12
_chemical_formula_sum 'Y2 Mn8 Cu6 O24'
_space_group_name_H-M_alt 'I m -3'
_space_group_IT_number 204
_space_group_name_Hall '-I 2 2 3'
_cell_length_a 7.171
_cell_length_b 7.171
_cell_length_c 7.171
_cell_angle_alpha 90.00
_cell_angle_beta 90.00
_cell_angle_gamma 90.00
loop_
_atom_site_label
_atom_site_fract_x
_atom_site_fract_y
_atom_site_fract_z
Y1 0.000 0.000 0.000
Mn1 0.250 0.250 0.250
Cu1 0.000 0.000 0.500
O1 0.000 0.177 0.298
# ΔE_f (raw) in kJ/mol of formula units: -3877
# E_tot in eV for the cell shown: -522.8

---

[12]
# ZrInNi SCAN single point on PBEsol structure
data_ZrInNi
_chemical_formula_sum 'Zr1 In1 Ni1'
_space_group_name_H-M_alt 'P 3 m 1'
_space_group_IT_number 156
_cell_length_a 3.3908
_cell_length_b 3.3908
_cell_length_c 5.8369
_cell_angle_alpha 90.00
_cell_angle_beta 90.00
_cell_angle_gamma 120.00
loop_
_space_group_symop_operation_xyz
'x,y,z'
'-y,x-y,z'
'-x+y,-x,z'
'-y,-x,z'
'-x+y,y,z'
'x,x-y,z'
loop_
_atom_site_label
_atom_site_fract_x
_atom_site_fract_y
_atom_site_fract_z
Zr1 0.0000 0.0000 0.0000
In1 0.3333 0.6667 0.5765
Ni1 0.6667 0.3333 0.2670
# DFT formation energy in eV/f.u.: -0.24
# E_tot in eV for the cell shown: -80.5

---

[13]
# Cs6Dy21S34Cl SCAN single point on PBEsol structure
data_Cs6Dy21S34Cl
_chemical_formula_sum 'Cs12 Dy42 S68 Cl2'
_space_group_name_H-M_alt 'C 1 2/m 1'
_space_group_IT_number 12
_cell_length_a 17.038
_cell_length_b 19.378
_cell_length_c 12.908
_cell_angle_alpha 90.00
_cell_angle_beta 128.70
_cell_angle_gamma 90.00
loop_
_space_group_symop_operation_xyz
'x,y,z'
'-x,-y,-z'
'-x,y,-z'
'x,-y,z'
'x+1/2,y+1/2,z'
'-x+1/2,-y+1/2,-z'
'-x+1/2,y+1/2,-z'
'x+1/2,-y+1/2,z'
loop_
_atom_site_label
_atom_site_fract_x
_atom_site_fract_y
_atom_site_fract_z
Cs1 0.072 0.123 0.231
Cs2 0.232 0.000 0.085
Dy1 0.000 0.100 0.500
Dy2 0.000 0.301 0.500
Dy3 0.000 0.400 0.000
Dy4 0.000 0.500 0.500
Dy5 0.128 0.300 0.877
Dy6 0.136 0.398 0.392
Dy7 0.243 0.000 0.757
Dy8 0.246 0.291 0.251
S1 0.051 0.400 0.682
S2 0.058 0.000 0.680
S3 0.061 0.306 0.189
S4 0.070 0.203 0.686
S5 0.074 0.500 0.192
S6 0.183 0.396 0.063
S7 0.183 0.500 0.560
S8 0.185 0.302 0.564
S9 0.189 0.100 0.576
S10 0.189 0.202 0.058
Cl1 0.000 0.000 0.000
# ΔE_f (raw) in kJ/mol of formula units: -13816
# E_tot in eV for the cell shown: -3418.2

---

[14]
# Fe2AgIr SCAN single point on PBEsol structure
data_Fe2AgIr
_chemical_formula_sum 'Fe2 Ag1 Ir1'
_space_group_name_H-M_alt 'P 1 m 1'
_space_group_IT_number 6
_cell_length_a 2.640
_cell_length_b 4.064
_cell_length_c 5.098
_cell_angle_alpha 90.00
_cell_angle_beta 104.98
_cell_angle_gamma 90.00
loop_
_space_group_symop_operation_xyz
'x,y,z'
'x,-y,z'
loop_
_atom_site_label
_atom_site_fract_x
_atom_site_fract_y
_atom_site_fract_z
Fe1 0.000 0.000 0.000
Fe2 0.125 0.500 0.255
Ag1 0.385 0.500 0.771
Ir1 0.723 0.000 0.448
# DFT formation energy in eV/f.u.: 0.82
# E_tot in eV for the cell shown: -137.9

---

[15]
# YMgSc4 SCAN single point on PBEsol structure
data_YMgSc4
_chemical_formula_sum 'Y4 Mg4 Sc16'
_space_group_name_H-M_alt 'F -4 3 m'
_space_group_IT_number 216
_space_group_name_Hall 'F -4 2 3'
_cell_length_a 8.506
_cell_length_b 8.506
_cell_length_c 8.506
_cell_angle_alpha 90.00
_cell_angle_beta 90.00
_cell_angle_gamma 90.00
loop_
_atom_site_label
_atom_site_fract_x
_atom_site_fract_y
_atom_site_fract_z
Y1 0.000 0.000 0.000
Mg1 0.250 0.250 0.750
Sc1 0.126 0.126 0.374
# DFT formation energy in eV/f.u.: 1.19
# E_tot in eV for the cell shown: -354.3

---

[16]
# LuInCo4 SCAN single point on PBEsol structure
data_LuInCo4
_chemical_formula_sum 'Lu4 In4 Co16'
_space_group_name_H-M_alt 'F -4 3 m'
_space_group_IT_number 216
_space_group_name_Hall 'F -4 2 3'
_cell_length_a 6.875
_cell_length_b 6.875
_cell_length_c 6.875
_cell_angle_alpha 90.00
_cell_angle_beta 90.00
_cell_angle_gamma 90.00
loop_
_atom_site_label
_atom_site_fract_x
_atom_site_fract_y
_atom_site_fract_z
Lu1 0.000 0.000 0.000
In1 0.250 0.250 0.250
Co1 0.125 0.125 0.625
# DFT formation energy in eV/f.u.: -0.85
# E_tot in eV for the cell shown: -635.2

---

[17]
# Li3Al2 SCAN single point on PBEsol structure
data_Li3Al2
_chemical_formula_sum 'Li9 Al6'
_space_group_name_H-M_alt 'R -3 m'
_space_group_IT_number 166
_space_group_name_Hall '-R 3 2"'
_cell_length_a 4.4248
_cell_length_b 4.4248
_cell_length_c 14.0034
_cell_angle_alpha 90.00
_cell_angle_beta 90.00
_cell_angle_gamma 120.00
loop_
_atom_site_label
_atom_site_fract_x
_atom_site_fract_y
_atom_site_fract_z
Li1 0.0000 0.0000 0.0000
Li2 0.0000 0.0000 0.4029
Al1 0.0000 0.0000 0.1982
# DFT formation energy in eV/f.u.: -0.95
# E_tot in eV for the cell shown: -70.9

---

[18]
# ErRe2 SCAN single point on PBEsol structure
data_ErRe2
_chemical_formula_sum 'Er4 Re8'
_space_group_name_H-M_alt 'P 63/m m c'
_space_group_IT_number 194
_space_group_name_Hall '-P 6c 2c'
_cell_length_a 5.3434
_cell_length_b 5.3434
_cell_length_c 8.6818
_cell_angle_alpha 90.00
_cell_angle_beta 90.00
_cell_angle_gamma 120.00
loop_
_atom_site_label
_atom_site_fract_x
_atom_site_fract_y
_atom_site_fract_z
Er1 0.3333 0.6667 0.0623
Re1 0.0000 0.0000 0.0000
Re2 0.1709 0.3419 0.7500
# DFT formation energy in eV/f.u.: -1.11
# E_tot in eV for the cell shown: -774.6

---

[19]
# Mn2H2Au SCAN single point on PBEsol structure
data_Mn2H2Au
_chemical_formula_sum 'Mn4 H4 Au2'
_space_group_name_H-M_alt 'I 4/m m m'
_space_group_IT_number 139
_space_group_name_Hall '-I 4 2'
_cell_length_a 2.817
_cell_length_b 2.817
_cell_length_c 11.848
_cell_angle_alpha 90.00
_cell_angle_beta 90.00
_cell_angle_gamma 90.00
loop_
_atom_site_label
_atom_site_fract_x
_atom_site_fract_y
_atom_site_fract_z
Mn1 0.000 0.000 0.160
H1 0.000 0.500 0.250
Au1 0.000 0.000 0.500
# E_tot in eV for the cell shown: -227.0

---

[20]
# BeRh3Br SCAN single point on PBEsol structure
data_BeRh3Br
_chemical_formula_sum 'Be1 Rh3 Br1'
_space_group_name_H-M_alt 'P m -3 m'
_space_group_IT_number 221
_space_group_name_Hall '-P 4 2 3'
_cell_length_a 4.472
_cell_length_b 4.472
_cell_length_c 4.472
_cell_angle_alpha 90.00
_cell_angle_beta 90.00
_cell_angle_gamma 90.00
loop_
_atom_site_label
_atom_site_fract_x
_atom_site_fract_y
_atom_site_fract_z
Be1 0.000 0.000 0.000
Rh1 0.000 0.500 0.500
Br1 0.500 0.500 0.500
# ΔE_f (raw) in kJ/mol of formula units: 625
# E_tot in eV for the cell shown: -118.7

---

[21]
# YRe2Mo SCAN single point on PBEsol structure
data_YRe2Mo
_chemical_formula_sum 'Y2 Re4 Mo2'
_space_group_name_H-M_alt 'C m m m'
_space_group_IT_number 65
_space_group_name_Hall '-C 2 2'
_cell_length_a 3.144
_cell_length_b 4.579
_cell_length_c 9.211
_cell_angle_alpha 90.00
_cell_angle_beta 90.00
_cell_angle_gamma 90.00
loop_
_atom_site_label
_atom_site_fract_x
_atom_site_fract_y
_atom_site_fract_z
Y1 0.000 0.000 0.000
Re1 0.000 0.500 0.271
Mo1 0.000 0.000 0.500
# DFT formation energy in eV/f.u.: 1.18
# Relative energy among the computed polymorphs in kJ per mole of atoms: 0.0
# E_tot in eV for the cell shown: -407.5

---

[22]
# Al2Sb SCAN single point on PBEsol structure
data_Al2Sb
_chemical_formula_sum 'Al8 Sb4'
_space_group_name_H-M_alt 'C m c m'
_space_group_IT_number 63
_space_group_name_Hall '-C 2c 2'
_cell_length_a 3.257
_cell_length_b 17.534
_cell_length_c 4.407
_cell_angle_alpha 90.00
_cell_angle_beta 90.00
_cell_angle_gamma 90.00
loop_
_atom_site_label
_atom_site_fract_x
_atom_site_fract_y
_atom_site_fract_z
Al1 0.000 0.045 0.250
Al2 0.000 0.416 0.250
Sb1 0.000 0.312 0.750
# ΔE_f (raw) in kJ/mol of formula units: 43
# E_tot in eV for the cell shown: -209.3

---

[23]
# BaAs2Ru SCAN single point on PBEsol structure
data_BaAs2Ru
_chemical_formula_sum 'Ba1 As2 Ru1'
_space_group_name_H-M_alt 'P 4/m m m'
_space_group_IT_number 123
_space_group_name_Hall '-P 4 2'
_cell_length_a 4.296
_cell_length_b 4.296
_cell_length_c 4.553
_cell_angle_alpha 90.00
_cell_angle_beta 90.00
_cell_angle_gamma 90.00
loop_
_atom_site_label
_atom_site_fract_x
_atom_site_fract_y
_atom_site_fract_z
Ba1 0.000 0.000 0.000
As1 0.000 0.500 0.500
Ru1 0.500 0.500 0.000
# DFT formation energy in eV/f.u.: 1.75
# E_tot in eV for the cell shown: -113.0